1.
KScPaS4 | Alexandria via LeMat-Bulk | PBE | optimized geometry; calculated volume = 387 Å³ per cell; E_form (uncorrected) = -1.622 eV/atom; DOS(E_F) = 5.701 states/eV/f.u.; calculated total energy = -89.58 eV/cell; total moment = 1.03 μB/f.u.
1.0
-6.216 -3.366 -4.848
0.612 -1.645 7.936
-2.141 7.368 -2.371
K Sc Pa S
2 2 2 8
Direct
0.894 0.788 0.144
0.106 0.212 0.856
0.500 0.000 0.500
0.500 0.000 0.000
0.500 0.500 0.500
0.000 0.500 0.500
0.735 0.469 0.697
0.314 0.025 0.262
0.710 0.025 0.262
0.735 0.469 0.272
0.265 0.531 0.728
0.686 0.975 0.738
0.290 0.975 0.738
0.265 0.531 0.303

2.
Sm3Cu2Pt4 | Alexandria via LeMat-Bulk | PBE | optimized geometry; calculated volume = 184 Å³ per cell; DOS(E_F) = 3.229 states/eV/f.u.; calculated total energy = -54.15 eV/cell; total moment = 0.00 μB/f.u.
1.0
-0.403 -2.154 3.869
5.004 -1.076 2.478
1.609 5.847 5.977
Sm Cu Pt
3 2 4
Direct
0.361 0.585 0.693
0.000 0.000 0.000
0.639 0.415 0.307
0.326 0.999 0.348
0.674 0.001 0.652
0.286 0.357 0.070
0.714 0.643 0.930
0.079 0.240 0.602
0.921 0.760 0.398